No. 1
HfPt2Se | PBEsol | optimized geometry Values from VASP.

Structure (Quantum ESPRESSO input):
```
&SYSTEM
  ibrav = 0, nat = 8, ntyp = 3
/
ATOMIC_SPECIES
Pt 195.08 Pt.upf
Hf 178.49 Hf.upf
Se 78.96 Se.upf
ATOMIC_POSITIONS angstrom
Pt 1.4361 1.3122 4.3132
Hf 0.0000 2.8723 2.8755
Se 2.8723 0.0000 2.8755
Hf 0.0000 0.0000 0.0000
Pt 4.1845 1.4361 1.4377
Pt -1.4361 -1.3122 4.3132
Se 2.8723 2.8723 0.0000
Pt 1.5601 4.3084 1.4377
CELL_PARAMETERS angstrom
5.7446 0.0000 0.0000
0.0000 5.7446 0.0000
-2.8723 -2.8723 5.7510
```

* uncorrected formation energy: -0.168 eV/atom
* DFT total energy: -7.2385 eV per atom
* symmetry: I-42d, No. 122
* size of the total moment: 0.00 μB per formula unit

***

No. 2
MnTeAs2Br | PBEsol | optimized geometry Values from VASP.

Structure (Quantum ESPRESSO input):
```
&SYSTEM
  ibrav = 0, nat = 5, ntyp = 4
/
ATOMIC_SPECIES
Br 79.90 Br.upf
As 74.92 As.upf
Te 127.60 Te.upf
Mn 54.94 Mn.upf
ATOMIC_POSITIONS angstrom
Br 1.6532 1.6632 1.3242
As -0.5276 -1.2704 2.2543
Te 0.0000 0.0000 0.0000
As -2.0168 1.6432 0.4540
Mn -0.8912 2.0360 4.0324
CELL_PARAMETERS angstrom
-4.0336 3.2864 0.9080
-1.0551 -2.5407 4.5085
3.3063 3.3264 2.6483
```

* uncorrected formation energy: 1.096 eV/atom
* DFT total energy: -3.9782 eV per atom
* symmetry: P4/mmm, No. 123
* size of the total moment: 4.72 μB per formula unit

***

No. 3
CdGeAsSe2 | PBEsol | optimized geometry Values from VASP.

Structure (Quantum ESPRESSO input):
```
&SYSTEM
  ibrav = 0, nat = 5, ntyp = 4
/
ATOMIC_SPECIES
Cd 112.41 Cd.upf
Se 78.96 Se.upf
As 74.92 As.upf
Ge 72.64 Ge.upf
ATOMIC_POSITIONS angstrom
Cd 2.4805 2.4805 2.4264
Se 0.0000 2.4805 0.0000
As 0.0000 0.0000 2.4264
Ge 0.0000 0.0000 0.0000
Se 2.4805 0.0000 0.0000
CELL_PARAMETERS angstrom
4.9610 0.0000 0.0000
0.0000 4.9610 0.0000
0.0000 0.0000 4.8528
```

* uncorrected formation energy: 0.451 eV/atom
* DFT total energy: -3.3374 eV per atom
* symmetry: P4/mmm, No. 123
* size of the total moment: 0.00 μB per formula unit

***

No. 4
K2ScP | PBEsol | optimized geometry Values from VASP.

Structure (Quantum ESPRESSO input):
```
&SYSTEM
  ibrav = 0, nat = 4, ntyp = 3
/
ATOMIC_SPECIES
K 39.10 K.upf
Sc 44.96 Sc.upf
P 30.97 P.upf
ATOMIC_POSITIONS angstrom
K 0.0421 -0.4653 0.0009
Sc -1.4468 -4.0428 1.4530
K 0.8601 -6.9027 0.1184
P -1.5677 -4.9872 -0.8961
CELL_PARAMETERS angstrom
-1.6843 -0.1454 3.7558
-2.3801 -0.3625 -3.3398
3.4495 -10.3032 1.1479
```

* DFT total energy: -4.0153 eV per atom
* symmetry: Cm, No. 8
* energy of formation from the pure elements: -0.350 eV/atom
* size of the total moment: 0.38 μB per formula unit

***

No. 5
Sc5Al | PBEsol | optimized geometry Values from VASP.

Structure (Quantum ESPRESSO input):
```
&SYSTEM
  ibrav = 0, nat = 6, ntyp = 2
/
ATOMIC_SPECIES
Sc 44.96 Sc.upf
Al 26.98 Al.upf
ATOMIC_POSITIONS angstrom
Sc 5.3662 -3.8064 4.4265
Sc 0.7656 -2.7799 1.2242
Sc 2.3385 -2.8847 4.1552
Sc 2.9715 -0.8524 0.1715
Sc 3.7815 -3.6872 1.4747
Al 0.0189 -0.0233 0.0336
CELL_PARAMETERS angstrom
-0.7123 -2.7925 -1.5378
4.4189 0.1753 -2.3652
3.8535 -2.9179 6.9831
```

* excess energy over the best structure of this formula in the dataset: 0.08 eV per formula unit
* DFT total energy: -6.3044 eV per atom
* symmetry: Amm2, No. 38
* energy of formation from the pure elements: -0.118 eV/atom
* size of the total moment: 0.01 μB per formula unit

***

No. 6
SiB3Pd | PBEsol | optimized geometry Values from VASP.

Structure (Quantum ESPRESSO input):
```
&SYSTEM
  ibrav = 0, nat = 5, ntyp = 3
/
ATOMIC_SPECIES
Pd 106.42 Pd.upf
B 10.81 B.upf
Si 28.09 Si.upf
ATOMIC_POSITIONS angstrom
Pd 1.9623 1.9623 1.9623
B 0.0000 0.0000 1.9623
Si 0.0000 0.0000 0.0000
B 1.9623 0.0000 0.0000
B 0.0000 1.9623 0.0000
CELL_PARAMETERS angstrom
3.9246 0.0000 0.0000
0.0000 3.9246 0.0000
0.0000 0.0000 3.9246
```

* excess energy over the best structure of this formula in the dataset: 0.00 eV per formula unit
* uncorrected formation energy: 1.529 eV/atom
* DFT total energy: -5.0218 eV per atom
* symmetry: Pm-3m, No. 221
* size of the total moment: 0.00 μB per formula unit